(1)
The following is a DFT calculation (PBE) of CaSnPt2 after structural relaxation.

Computed properties:
The space-group type is P4/mmm (123). The density of states at the Fermi level is 0.343 states/eV per atom. For the calculated volume, the calculation gives 78.08 Å³/cell. As for the formation energy: -259 kJ/mol of formula units. The crystal system is tetragonal.

The structure in extended XYZ format:
```
4
Lattice="-0.6360 -3.2050 1.5198 3.7611 -1.7484 -2.1132 2.6168 1.2133 3.6535" Properties=species:S:1:pos:R:3 pbc="T T T"
Ca -0.3180 -1.6025 0.7599
Sn 2.8710 -1.8700 1.5301
Pt 1.3084 0.6066 1.8268
Pt 1.8805 -0.8742 -1.0566
```

=====

(2)
The following is a DFT calculation (PBE) of Ca2Sn5Pt3 after structural relaxation.

Computed properties:
The space-group type is Pnma (62). The density of states at the Fermi level is 0.266 states/eV per atom. For the calculated volume, the calculation gives 900.08 Å³/cell. As for the formation energy: -713 kJ/mol of formula units. The crystal system is orthorhombic.

The structure in extended XYZ format:
```
40
Lattice="-0.3726 2.8148 -3.5223 -6.0785 -3.6396 -2.2655 -15.2573 16.3457 14.6763" Properties=species:S:1:pos:R:3 pbc="T T T"
Ca -15.8886 16.2659 10.3210
Ca -5.8198 -0.7451 -1.4326
Ca -13.6705 8.8137 4.1311
Ca -8.0379 6.7071 4.7574
Ca -5.4766 4.7817 0.0421
Ca -16.2318 10.7392 8.8463
Ca -9.2199 3.7161 -0.4134
Ca -12.4886 11.8048 9.3019
Sn -11.2065 7.8974 6.0437
Sn -8.6285 9.4401 7.0038
Sn -13.0800 6.0808 1.8846
Sn -17.9714 14.3736 11.9347
Sn -3.7370 1.1472 -3.0462
Sn -14.7601 13.7742 8.2105
Sn -10.5019 7.6234 2.8447
Sn -20.5483 12.8296 10.9734
Sn -1.1601 2.6912 -2.0850
Sn -10.5078 3.8564 2.7405
Sn -11.2006 11.6645 6.1479
Sn -3.8540 1.8038 0.3964
Sn -8.1411 1.2999 -2.4584
Sn -6.9483 1.7466 0.6780
Sn -16.3351 10.3857 5.6691
Sn -5.3734 5.1352 3.2193
Sn -13.6436 9.2268 7.3639
Sn -13.5674 14.2210 11.3468
Sn -8.0648 6.2941 1.5246
Sn -17.8544 13.7170 8.4920
Pt -12.4855 15.1817 9.0946
Pt -11.8182 5.7226 4.3705
Pt -9.8903 9.7983 4.5180
Pt -1.9900 0.2691 -1.0272
Pt -19.7185 15.2517 9.9156
Pt -15.7304 7.7171 6.3782
Pt -5.9780 7.8037 2.5102
Pt -15.9657 13.0451 10.6609
Pt -5.7427 2.4757 -1.7724
Pt -7.7025 3.7860 2.3876
Pt -14.0059 11.7348 6.5009
Pt -9.2230 0.3391 -0.2062
```

=====

(3)
The following is a DFT calculation (PBE) of CaSn2Pt after structural relaxation.

Computed properties:
The space-group type is R-3m (166). The density of states at the Fermi level is 0.343 states/eV per atom. For the calculated volume, the calculation gives 99.48 Å³/cell. As for the formation energy: -247 kJ/mol of formula units. The crystal system is trigonal.

The structure in extended XYZ format:
```
4
Lattice="-1.7209 -1.8598 3.6956 1.9930 -3.5599 1.8530 3.2853 1.6659 5.0847" Properties=species:S:1:pos:R:3 pbc="T T T"
Ca 1.7786 -1.8769 5.3167
Sn 0.6312 -1.2190 2.3970
Sn 2.9261 -2.5348 8.2364
Pt 0.0000 0.0000 0.0000
```

=====

(4)
The following is a DFT calculation (PBE) of CaSn2Pt2 after structural relaxation.

Computed properties:
The space-group type is P4/mbm (127). The density of states at the Fermi level is 0.708 states/eV per atom. For the calculated volume, the calculation gives 215.41 Å³/cell. As for the formation energy: -265 kJ/mol of formula units. The crystal system is tetragonal.

The structure in extended XYZ format:
```
10
Lattice="-7.3509 -2.3728 -0.0483 1.2987 -4.1533 6.3822 -0.9284 2.8347 2.0337" Properties=species:S:1:pos:R:3 pbc="T T T"
Ca 0.0000 0.0000 0.0000
Ca -3.0261 -3.2631 3.1669
Sn -0.7912 -1.7121 5.2297
Sn -4.2364 -3.6351 6.3374
Sn -6.1894 -1.9793 3.1378
Sn -2.7443 -0.0563 2.0300
Pt -1.5791 -4.4795 5.5231
Pt -5.5615 -4.6841 3.9903
Pt -4.4732 -2.0466 0.8107
Pt -0.4907 -1.8420 2.3435
```

=====

(5)
The following is a DFT calculation (PBE) of CaSnPt3 after structural relaxation.

Computed properties:
The space-group type is Pm-3m (221). The density of states at the Fermi level is 0.513 states/eV per atom. For the calculated volume, the calculation gives 124.68 Å³/cell. As for the formation energy: 5 kJ/mol of formula units. The crystal system is cubic.

The structure in extended XYZ format:
```
5
Lattice="-3.1295 1.9425 3.3750 -3.5916 -3.1131 -1.5385 1.5049 -3.3901 3.3466" Properties=species:S:1:pos:R:3 pbc="T T T"
Ca -2.6081 -2.2803 2.5916
Sn 0.0000 0.0000 0.0000
Pt -1.7958 -1.5565 -0.7693
Pt 0.7524 -1.6951 1.6733
Pt -1.5647 0.9713 1.6875
```

=====

(6)
The following is a DFT calculation (PBE) of Ca8SnPt2 after structural relaxation.

Computed properties:
The space-group type is Cm (8). The density of states at the Fermi level is 0.506 states/eV per atom. For the calculated volume, the calculation gives 338.86 Å³/cell. As for the formation energy: -610 kJ/mol of formula units. The crystal system is monoclinic.

The structure in extended XYZ format:
```
11
Lattice="-2.0954 -5.0508 -1.4043 1.0261 2.8752 -7.5516 7.0327 -2.6009 3.1816" Properties=species:S:1:pos:R:3 pbc="T T T"
Ca -0.4236 -2.1447 -3.1108
Ca 1.1795 -3.6062 -0.2463
Ca 2.6518 -0.9015 -1.9440
Ca 3.4920 -6.3103 -0.8619
Ca 0.4249 -3.5141 -6.3425
Ca 3.3632 -3.8729 -3.8581
Ca 4.8333 -1.1666 -5.5545
Ca 6.4370 -2.6286 -2.6890
Sn 0.0245 -0.0040 -0.0158
Pt 1.9028 -1.3806 -4.8726
Pt 4.1103 -3.3932 -0.9281
```

=====

(7)
The following is a DFT calculation (PBE) of Ca2Sn3Pt2 after structural relaxation.

Computed properties:
The space-group type is C2/m (12). The density of states at the Fermi level is 0.440 states/eV per atom. For the calculated volume, the calculation gives 164.82 Å³/cell. As for the formation energy: -491 kJ/mol of formula units. The crystal system is monoclinic.

The structure in extended XYZ format:
```
7
Lattice="-3.9414 -0.9605 1.5460 4.2147 -1.1893 3.9105 -1.8093 7.3710 -0.0330" Properties=species:S:1:pos:R:3 pbc="T T T"
Ca -0.7677 -0.1712 4.0317
Ca -0.7682 5.3924 1.3918
Sn -1.9707 -0.4803 0.7730
Sn -2.2325 2.4304 1.9137
Sn 0.6967 2.7908 3.5098
Pt -1.7632 4.0134 4.0938
Pt 0.2273 1.2078 1.3298
```

=====

(8)
The following is a DFT calculation (PBE) of Ca8Sn2Pt after structural relaxation.

Computed properties:
The space-group type is C2/m (12). The density of states at the Fermi level is 0.337 states/eV per atom. For the calculated volume, the calculation gives 342.53 Å³/cell. As for the formation energy: -572 kJ/mol of formula units. The crystal system is monoclinic.

The structure in extended XYZ format:
```
11
Lattice="-4.1543 0.1822 3.3527 -0.7838 -7.1438 -0.5830 7.9191 1.8020 5.4595" Properties=species:S:1:pos:R:3 pbc="T T T"
Ca 4.2679 -2.6310 5.4314
Ca -1.0871 -6.0798 3.2384
Ca 0.8058 -3.9230 5.4668
Ca 3.3599 0.4336 8.3947
Ca 2.1751 -1.2366 2.7624
Ca 4.0681 0.9202 4.9908
Ca -1.2870 -2.5286 2.7978
Ca -0.3789 -5.5932 -0.1655
Sn 1.3870 -0.8130 6.0179
Sn 1.5940 -4.3466 2.2113
Pt -2.0771 0.0911 1.6763
```